(1)
Pm8Ho2Th after structural relaxation. Source: Alexandria, functional GGA-PBE.

abc: 9.595 9.595 6.146
angles: 105.94 105.94 43.49
Fractional coordinates of all 11 atoms:
Pm1 0.028 0.028 0.252
Pm2 0.160 0.604 0.335
Pm3 0.295 0.295 0.736
Pm4 0.396 0.840 0.665
Pm5 0.604 0.160 0.335
Pm6 0.705 0.705 0.264
Pm7 0.840 0.396 0.665
Pm8 0.972 0.972 0.748
Ho1 0.198 0.198 0.150
Ho2 0.802 0.802 0.850
Th1 0.500 0.500 0.000

---

(2)
Pm2Ho12Th5 after structural relaxation. Source: Alexandria, functional GGA-PBE.

abc: 11.484 11.484 8.635
angles: 107.89 107.89 35.35
Fractional coordinates of all 19 atoms:
Pm1 0.246 0.754 0.000
Pm2 0.754 0.246 0.000
Ho1 0.047 0.047 0.690
Ho2 0.048 0.551 0.210
Ho3 0.133 0.649 0.619
Ho4 0.349 0.349 0.920
Ho5 0.351 0.867 0.381
Ho6 0.449 0.952 0.790
Ho7 0.551 0.048 0.210
Ho8 0.649 0.133 0.619
Ho9 0.651 0.651 0.080
Ho10 0.867 0.351 0.381
Ho11 0.952 0.449 0.790
Ho12 0.953 0.953 0.310
Th1 0.153 0.153 0.093
Th2 0.252 0.252 0.506
Th3 0.500 0.500 0.500
Th4 0.748 0.748 0.494
Th5 0.847 0.847 0.907

---

(3)
Pm5Ho5Th2 after structural relaxation. Source: Alexandria, functional GGA-PBE.

abc: 6.198 8.017 8.800
angles: 111.12 90.13 104.91
Fractional coordinates of all 12 atoms:
Pm1 0.000 0.000 0.000
Pm2 0.083 0.744 0.582
Pm3 0.250 0.256 0.753
Pm4 0.750 0.744 0.247
Pm5 0.917 0.256 0.418
Ho1 0.334 0.996 0.331
Ho2 0.413 0.747 0.917
Ho3 0.500 0.500 0.500
Ho4 0.587 0.253 0.083
Ho5 0.666 0.004 0.669
Th1 0.164 0.502 0.164
Th2 0.836 0.498 0.836

---

(4)
Pm3Ho8Th4 after structural relaxation. Source: Alexandria, functional GGA-PBE.

abc: 9.271 9.271 6.734
angles: 111.05 111.05 88.45
Fractional coordinates of all 15 atoms:
Pm1 0.000 0.000 0.000
Pm2 0.000 0.500 0.000
Pm3 0.500 0.000 0.000
Ho1 0.144 0.856 0.500
Ho2 0.238 0.238 0.503
Ho3 0.241 0.241 0.986
Ho4 0.244 0.756 0.000
Ho5 0.756 0.244 0.000
Ho6 0.759 0.759 0.014
Ho7 0.762 0.762 0.497
Ho8 0.856 0.144 0.500
Th1 0.000 0.500 0.500
Th2 0.500 0.000 0.500
Th3 0.500 0.500 0.000
Th4 0.500 0.500 0.500

---

(5)
Pm5Ho12Th2 after structural relaxation. Source: Alexandria, functional GGA-PBE.

abc: 6.183 9.431 11.259
angles: 89.95 79.32 71.06
Fractional coordinates of all 19 atoms:
Pm1 0.000 0.000 0.000
Pm2 0.258 0.163 0.475
Pm3 0.473 0.685 0.052
Pm4 0.527 0.315 0.948
Pm5 0.742 0.837 0.525
Ho1 0.052 0.632 0.892
Ho2 0.105 0.265 0.789
Ho3 0.158 0.892 0.685
Ho4 0.318 0.786 0.370
Ho5 0.366 0.422 0.267
Ho6 0.422 0.051 0.158
Ho7 0.578 0.949 0.842
Ho8 0.634 0.578 0.733
Ho9 0.682 0.214 0.630
Ho10 0.842 0.108 0.315
Ho11 0.895 0.735 0.211
Ho12 0.948 0.368 0.108
Th1 0.215 0.525 0.577
Th2 0.785 0.475 0.423

---

(6)
Pm12Ho5Th2 after structural relaxation. Source: Alexandria, functional GGA-PBE.

abc: 10.777 10.777 6.181
angles: 101.01 101.01 65.68
Fractional coordinates of all 19 atoms:
Pm1 0.044 0.561 0.802
Pm2 0.058 0.058 0.269
Pm3 0.149 0.645 0.391
Pm4 0.355 0.851 0.609
Pm5 0.379 0.379 0.999
Pm6 0.439 0.956 0.198
Pm7 0.561 0.044 0.802
Pm8 0.621 0.621 0.001
Pm9 0.645 0.149 0.391
Pm10 0.851 0.355 0.609
Pm11 0.942 0.942 0.731
Pm12 0.956 0.439 0.198
Ho1 0.179 0.179 0.854
Ho2 0.286 0.286 0.446
Ho3 0.500 0.500 0.500
Ho4 0.714 0.714 0.554
Ho5 0.821 0.821 0.146
Th1 0.274 0.726 0.000
Th2 0.726 0.274 0.000

---

(7)
Pm4Ho7Th after structural relaxation. Source: Alexandria, functional GGA-PBE.

abc: 7.124 7.975 7.978
angles: 95.89 102.54 116.37
Fractional coordinates of all 12 atoms:
Pm1 0.006 0.170 0.169
Pm2 0.254 0.667 0.171
Pm3 0.746 0.333 0.829
Pm4 0.994 0.830 0.831
Ho1 0.000 0.500 0.500
Ho2 0.252 0.004 0.500
Ho3 0.254 0.336 0.829
Ho4 0.499 0.830 0.830
Ho5 0.501 0.170 0.170
Ho6 0.746 0.664 0.171
Ho7 0.748 0.996 0.500
Th1 0.500 0.500 0.500

---

(8)
Pm3Ho7Th after structural relaxation. Source: Alexandria, functional GGA-PBE.

abc: 7.040 7.040 8.707
angles: 90.00 90.00 120.00
Fractional coordinates of all 11 atoms:
Pm1 0.168 0.337 0.000
Pm2 0.168 0.832 0.000
Pm3 0.663 0.832 0.000
Ho1 0.000 0.000 0.339
Ho2 0.004 0.502 0.341
Ho3 0.332 0.166 0.665
Ho4 0.498 0.502 0.341
Ho5 0.498 0.996 0.341
Ho6 0.834 0.166 0.665
Ho7 0.834 0.668 0.665
Th1 0.333 0.667 0.665

---

Number 1: DOS(E_F) 14.8 states/eV per cell, formation energy from the elements 183 meV per atom. Number 2: DOS(E_F) 29.7 states/eV per cell, formation energy from the elements 161 meV per atom. Number 3: DOS(E_F) 17.1 states/eV per cell, formation energy from the elements 35 meV per atom. Number 4: DOS(E_F) 27.5 states/eV per cell, formation energy from the elements 421 meV per atom. Number 5: DOS(E_F) 26.6 states/eV per cell, formation energy from the elements 24 meV per atom. Number 6: DOS(E_F) 27.7 states/eV per cell, formation energy from the elements 126 meV per atom. Number 7: DOS(E_F) 16.0 states/eV per cell, formation energy from the elements 20 meV per atom. Number 8: DOS(E_F) 16.9 states/eV per cell, formation energy from the elements 179 meV per atom.